SnW3S | Alexandria | GGA-PBE | relaxed; formation energy (no corrections) = 15.4 eV per formula unit; D(E_F) = 5.8 states/eV per cell; total energy = -6.3165 eV per atom; offset from the most stable computed form = 2200 meV/atom
1.0
-3.500 3.441 0.493
-0.827 -1.503 4.625
3.376 3.199 1.644
W Sn S
3 1 1
direct
0.500 0.000 0.000 W
0.000 0.500 0.000 W
0.000 0.000 0.500 W
0.000 0.000 0.000 Sn
0.500 0.500 0.500 S